[1]
This record from the Alexandria database describes a geometry-optimized ZrP2Cl structure. The functional is PBE.

abc: 5.1097 5.1097 4.9401
angles: 98.80 98.80 37.09
Last column: nearest neighbours and their distance in Å.
Positions (direct):
Zr: 0.0000 0.0000 0.0000  6 P 2.79-2.80, 4 Cl 2.96
P: 0.2661 0.2661 0.8494  2 P 2.26
P: 0.7339 0.7339 0.1506  2 P 2.26
Cl: 0.5000 0.5000 0.5000  4 Zr 2.96, 6 P 3.06-3.29, 2 Cl 3.25

Energy above the lowest structure with this stoichiometry (kJ/mol of formula units): 104

[2]
This record from the Alexandria database describes a geometry-optimized ZrPCl2 structure. The functional is PBE.

abc: 4.6477 4.6477 4.6477
angles: 60.00 60.00 60.00
Last column: nearest neighbours and their distance in Å.
Positions (direct):
Zr: 0.0000 0.0000 0.0000  8 Cl 2.85
P: 0.5000 0.5000 0.5000  8 Cl 2.85
Cl: 0.2500 0.2500 0.2500  4 P 2.85, 4 Zr 2.85
Cl: 0.7500 0.7500 0.7500  4 P 2.85, 4 Zr 2.85

Energy above the lowest structure with this stoichiometry (kJ/mol of formula units): 324

| no. | formation energy without anion corrections (kJ per mole of atoms) |
| --- | --- |
| 1 | -56.6 |
| 2 | -18.7 |